ZnSe2I: optimized geometry, GGA-PBEsol.

```
ZnSe2I
1.0
3.8276 0.0000 0.0000
-1.9138 3.3148 0.0000
0.0000 0.0000 24.3271
Zn Se I
3 6 3
direct
0.0000 0.0000 0.0000 Zn
0.3333 0.6667 0.6667 Zn
0.6667 0.3333 0.3333 Zn
0.0000 0.0000 0.3887 Se
0.0000 0.0000 0.6113 Se
0.3333 0.6667 0.0553 Se
0.3333 0.6667 0.2780 Se
0.6667 0.3333 0.7220 Se
0.6667 0.3333 0.9447 Se
0.0000 0.0000 0.5000 I
0.3333 0.6667 0.1667 I
0.6667 0.3333 0.8333 I
```

Output
Formation energy (no corrections)   -13 kJ/mol of atoms
Total energy   -34.71 eV per cell

***

Zn3SeI: optimized geometry, GGA-PBEsol.

```
Zn3SeI
1.0
5.0589 0.0000 0.0000
0.0000 5.0589 0.0000
0.0000 0.0000 5.0589
Zn Se I
3 1 1
direct
0.0000 0.0000 0.5000 Zn
0.0000 0.5000 0.0000 Zn
0.5000 0.0000 0.0000 Zn
0.0000 0.0000 0.0000 Se
0.5000 0.5000 0.5000 I
```

Output
Formation energy (no corrections)   19 kJ/mol of atoms
Total energy   -9.39 eV per cell

***

ZrSe3I: optimized geometry, GGA-PBEsol.

```
ZrSe3I
1.0
5.1671 0.0000 0.0000
0.0000 5.1671 0.0000
0.0000 0.0000 5.1671
Zr Se I
1 3 1
direct
0.0000 0.0000 0.0000 Zr
0.0000 0.0000 0.5000 Se
0.0000 0.5000 0.0000 Se
0.5000 0.0000 0.0000 Se
0.5000 0.5000 0.5000 I
```

Output
Formation energy (no corrections)   -30 kJ/mol of atoms
Total energy   -23.98 eV per cell

***

SiI3: optimized geometry, GGA-PBEsol.

```
SiI3
1.0
3.5757 2.0644 7.4067
-3.5757 2.0644 7.4067
0.0000 -4.1289 7.4067
Si I
2 6
direct
0.0528 0.0528 0.0528 Si
0.9472 0.9472 0.9472 Si
0.0968 0.4064 0.7547 I
0.2453 0.9032 0.5936 I
0.4064 0.7547 0.0968 I
0.5936 0.2453 0.9032 I
0.7547 0.0968 0.4064 I
0.9032 0.5936 0.2453 I
```

Output
Formation energy (no corrections)   -30 kJ/mol of atoms
Total energy   -24.60 eV per cell

***

SiI3: optimized geometry, GGA-PBEsol.

```
SiI3
1.0
13.5881 0.0000 0.0000
0.0000 12.3784 0.0000
0.0000 0.0000 7.9012
Si I
8 24
direct
0.1062 0.2500 0.2279 Si
0.1515 0.2500 0.9420 Si
0.3485 0.7500 0.4420 Si
0.3938 0.7500 0.7279 Si
0.6062 0.2500 0.2721 Si
0.6515 0.2500 0.5579 Si
0.8485 0.7500 0.0580 Si
0.8938 0.7500 0.7721 Si
0.0008 0.7500 0.2242 I
0.0100 0.0862 0.2772 I
0.0100 0.4138 0.2772 I
0.2451 0.7500 0.9015 I
0.2484 0.0874 0.8868 I
0.2484 0.4126 0.8868 I
0.2516 0.5874 0.3868 I
0.2516 0.9126 0.3868 I
0.2549 0.2500 0.4015 I
0.4900 0.5862 0.7772 I
0.4900 0.9138 0.7772 I
0.4992 0.2500 0.7242 I
0.5008 0.7500 0.2758 I
0.5100 0.0862 0.2228 I
0.5100 0.4138 0.2228 I
0.7451 0.7500 0.5985 I
0.7484 0.0874 0.6132 I
0.7484 0.4126 0.6132 I
0.7516 0.5874 0.1132 I
0.7516 0.9126 0.1132 I
0.7549 0.2500 0.0985 I
0.9900 0.5862 0.7228 I
0.9900 0.9138 0.7228 I
0.9992 0.2500 0.7758 I
```

Output
Formation energy (no corrections)   -30 kJ/mol of atoms
Total energy   -98.39 eV per cell

***

SiSnTe2I: optimized geometry, GGA-PBEsol.

```
SiSnTe2I
1.0
5.2917 0.0000 0.0000
0.0000 5.2917 0.0000
0.0000 0.0000 5.3448
Si Sn Te I
1 1 2 1
direct
0.0000 0.0000 0.0000 Si
0.5000 0.5000 0.5000 Sn
0.0000 0.5000 0.0000 Te
0.5000 0.0000 0.0000 Te
0.0000 0.0000 0.5000 I
```

Output
Formation energy (no corrections)   22 kJ/mol of atoms
Total energy   -17.71 eV per cell

***

SrSi3I: optimized geometry, GGA-PBEsol.

```
SrSi3I
1.0
5.2792 0.0000 0.0000
0.0000 5.2792 0.0000
0.0000 0.0000 5.2792
Sr Si I
1 3 1
direct
0.0000 0.0000 0.0000 Sr
0.0000 0.5000 0.5000 Si
0.5000 0.0000 0.5000 Si
0.5000 0.5000 0.0000 Si
0.5000 0.5000 0.5000 I
```

Output
Formation energy (no corrections)   88 kJ/mol of atoms
Total energy   -16.27 eV per cell

***

SrSiTeI2: optimized geometry, GGA-PBEsol.

```
SrSiTeI2
1.0
5.4421 0.0000 0.0000
0.0000 5.4421 0.0000
0.0000 0.0000 5.6092
Sr Si Te I
1 1 1 2
direct
0.0000 0.0000 0.0000 Sr
0.5000 0.5000 0.5000 Si
0.5000 0.5000 0.0000 Te
0.0000 0.5000 0.5000 I
0.5000 0.0000 0.5000 I
```

Output
Formation energy (no corrections)   -56 kJ/mol of atoms
Total energy   -17.55 eV per cell

***

TiSiTeI2: optimized geometry, GGA-PBEsol.

```
TiSiTeI2
1.0
5.2913 0.0000 0.0000
0.0000 5.2913 0.0000
0.0000 0.0000 5.4137
Ti Si Te I
1 1 1 2
direct
0.0000 0.0000 0.0000 Ti
0.5000 0.5000 0.5000 Si
0.5000 0.5000 0.0000 Te
0.0000 0.5000 0.5000 I
0.5000 0.0000 0.5000 I
```

Output
Formation energy (no corrections)   52 kJ/mol of atoms
Total energy   -18.42 eV per cell

***

TiSiI3: optimized geometry, GGA-PBEsol.

```
TiSiI3
1.0
5.4409 0.0000 0.0000
0.0000 5.4409 0.0000
0.0000 0.0000 5.4409
Ti Si I
1 1 3
direct
0.0000 0.0000 0.0000 Ti
0.5000 0.5000 0.5000 Si
0.0000 0.0000 0.5000 I
0.0000 0.5000 0.0000 I
0.5000 0.0000 0.0000 I
```

Output
Formation energy (no corrections)   25 kJ/mol of atoms
Total energy   -18.07 eV per cell

***

ZrSi3I: optimized geometry, GGA-PBEsol.

```
ZrSi3I
1.0
5.1511 0.0000 0.0000
0.0000 5.1511 0.0000
0.0000 0.0000 5.1511
Zr Si I
1 3 1
direct
0.0000 0.0000 0.0000 Zr
0.0000 0.0000 0.5000 Si
0.0000 0.5000 0.0000 Si
0.5000 0.0000 0.0000 Si
0.5000 0.5000 0.5000 I
```

Output
Formation energy (no corrections)   83 kJ/mol of atoms
Total energy   -23.81 eV per cell

***

Zr6SiI14: optimized geometry, GGA-PBEsol.

```
Zr6SiI14
1.0
7.9470 -7.0753 0.0000
7.9470 7.0753 0.0000
0.0000 0.0000 12.8623
Zr Si I
12 2 28
direct
0.0446 0.1835 0.8844 Zr
0.1467 0.8533 0.8923 Zr
0.1835 0.0446 0.1156 Zr
0.3165 0.4554 0.6156 Zr
0.3533 0.6467 0.3923 Zr
0.4554 0.3165 0.3844 Zr
0.5446 0.6835 0.6156 Zr
0.6467 0.3533 0.6077 Zr
0.6835 0.5446 0.3844 Zr
0.8165 0.9554 0.8844 Zr
0.8533 0.1467 0.1077 Zr
0.9554 0.8165 0.1156 Zr
0.0000 0.0000 0.0000 Si
0.5000 0.5000 0.5000 Si
0.0369 0.2149 0.2536 I
0.0927 0.4073 0.7500 I
0.1201 0.6271 0.0073 I
0.1271 0.6201 0.5073 I
0.1589 0.8411 0.2662 I
0.2149 0.0369 0.7464 I
0.2463 0.2463 0.5000 I
0.2537 0.2537 0.0000 I
0.2851 0.4631 0.2464 I
0.3411 0.6589 0.7662 I
0.3729 0.8799 0.0073 I
0.3799 0.8729 0.5073 I
0.4073 0.0927 0.2500 I
0.4631 0.2851 0.7536 I
0.5369 0.7149 0.2464 I
0.5927 0.9073 0.7500 I
0.6201 0.1271 0.4927 I
0.6271 0.1201 0.9927 I
0.6589 0.3411 0.2338 I
0.7149 0.5369 0.7536 I
0.7463 0.7463 0.0000 I
0.7537 0.7537 0.5000 I
0.7851 0.9631 0.2536 I
0.8411 0.1589 0.7338 I
0.8729 0.3799 0.4927 I
0.8799 0.3729 0.9927 I
0.9073 0.5927 0.2500 I
0.9631 0.7851 0.7464 I
```

Output
Formation energy (no corrections)   -98 kJ/mol of atoms
Total energy   -212.49 eV per cell